Computed, not measured: a relaxed Rb3Sb2Te4 crystal at the PBE-GGA level of DFT.

Output
E_form (uncorrected), eV/atom: -0.593
VASP energy, eV/atom: -3.228

a = 17.424 Å, b = 10.022 Å, c = 10.119 Å
α = 90.00°, β = 93.79°, γ = 90.00°
Space group C2/c (No. 15)
Symmetry-distinct sites (fractional):
Rb 0.000 0.023 0.250 (multiplicity 4)
Rb 0.133 0.395 0.866 (multiplicity 8)
Sb 0.196 0.147 0.548 (multiplicity 8)
Te 0.058 0.280 0.513 (multiplicity 8)
Te 0.210 0.043 0.843 (multiplicity 8)


Computed, not measured: a relaxed Rb2SbTe4 crystal at the PBE-GGA level of DFT.

Output
E_form (uncorrected), eV/atom: -0.400
VASP energy, eV/atom: -3.061

a = 8.792 Å, b = 4.256 Å, c = 8.840 Å
α = 90.00°, β = 108.73°, γ = 90.00°
Space group P2/m (No. 10)
Symmetry-distinct sites (fractional):
Rb 0.214 0.000 0.311 (multiplicity 2)
Sb 0.500 0.500 0.000 (multiplicity 1)
Te 0.114 0.500 0.921 (multiplicity 2)
Te 0.398 0.000 0.745 (multiplicity 2)


Computed, not measured: a relaxed RbSbTe2 crystal at the PBE-GGA level of DFT.

Output
E_form (uncorrected), eV/atom: -0.494
VASP energy, eV/atom: -3.337

a = 8.907 Å, b = 5.924 Å, c = 12.818 Å
α = 90.00°, β = 90.00°, γ = 90.00°
Space group Pnma (No. 62)
Symmetry-distinct sites (fractional):
Rb 0.160 0.250 0.146 (multiplicity 4)
Sb 0.075 0.750 0.396 (multiplicity 4)
Te 0.095 0.250 0.787 (multiplicity 4)
Te 0.158 0.250 0.443 (multiplicity 4)


Computed, not measured: a relaxed RbSbTe2 crystal at the PBE-GGA level of DFT.

Output
E_form (uncorrected), eV/atom: -0.377
VASP energy, eV/atom: -3.221

a = 8.669 Å, b = 8.669 Å, c = 10.279 Å
α = 90.00°, β = 90.00°, γ = 90.00°
Space group I-42d (No. 122)
Symmetry-distinct sites (fractional):
Rb 0.000 0.000 0.000 (multiplicity 4)
Sb 0.000 0.000 0.500 (multiplicity 4)
Te 0.182 0.750 0.625 (multiplicity 8)